PBE Er3Zn2In3, optimized geometry; formation enthalpy at 0 K = -3.12 eV/f.u.; crystal system = hexagonal; energy = -3.4469 eV per atom
1.0
7.473 0.000 0.000
-3.737 6.472 0.000
0.000 0.000 3.913
Er Zn In
3 2 3
Cartesian
-1.505 2.606 0.000
3.009 0.000 0.000
2.232 3.866 0.000
0.000 4.315 1.957
3.737 2.157 1.957
-2.826 4.896 1.957
0.910 1.576 1.957
5.653 0.000 1.957